VASP calculation (PBE) on an optimized crystal structure of Si2SbCl.

- Formation energy without anion corrections: 0.53 eV per atom
- Energy relative to the lowest polymorph listed for this composition: 647.8 meV/atom

a = 5.236 Å, b = 5.236 Å, c = 3.092 Å
α = 90.00°, β = 90.00°, γ = 90.00°
Space group P4/mmm (No. 123)
One atom of each set of equivalent atoms:
Si1 0.000 0.500 0.000 [2 per cell]
Sb1 0.000 0.000 0.500 [1 per cell]
Cl1 0.500 0.500 0.500 [1 per cell]